## LaYI (PBE)

Data for a geometry-optimized LaYI structure.

a b c (Å): 9.5657 12.4113 7.2942
angles (deg): 148.30 90.00 90.00
Fractional positions:
Y  0.2501  0.6584  0.0000
Y  0.7501  0.8416  0.0000
Y  0.2499  0.1584  0.0000
Y  0.7499  0.3416  0.0000
La  0.5000  0.2499  0.4998
La  0.0000  0.7499  0.4998
La  0.0000  0.2501  0.5002
La  0.5000  0.7501  0.5002
I  0.2501  0.4050  0.0000
I  0.7499  0.5950  0.0000
I  0.2499  0.9050  0.0000
I  0.7501  0.0950  0.0000

Output
The crystal system is orthorhombic. The space group is Pmma (51). As for the energy: -56.02 eV for the cell shown. The value obtained for the volume is 37.9 Å³/atom. For the energy above the lowest structure with this stoichiometry, the calculation gives 0.0 kJ/mol of atoms.


## La2YI (PBE)

Data for a geometry-optimized La2YI structure.

a b c (Å): 3.6856 3.6856 12.0959
angles (deg): 81.24 81.24 60.00
Fractional positions:
I  0.5000  0.5000  0.5000
Y  0.0000  0.0000  0.0000
La  0.0938  0.0938  0.7186
La  0.9062  0.9062  0.2814

Output
The crystal system is trigonal. The space group is R-3m (166). As for the energy: -18.70 eV for the cell shown. The value obtained for the volume is 35.0 Å³/atom. For the energy above the lowest structure with this stoichiometry, the calculation gives 21.5 kJ/mol of atoms.


## LaY2I (PBE)

Data for a geometry-optimized LaY2I structure.

a b c (Å): 3.6271 3.6271 12.0256
angles (deg): 81.33 81.33 60.00
Fractional positions:
I  0.5000  0.5000  0.5000
La  0.0000  0.0000  0.0000
Y  0.0966  0.0966  0.7101
Y  0.9034  0.9034  0.2899

Output
The crystal system is trigonal. The space group is R-3m (166). As for the energy: -19.75 eV for the cell shown. The value obtained for the volume is 33.7 Å³/atom. For the energy above the lowest structure with this stoichiometry, the calculation gives 22.9 kJ/mol of atoms.


## La2YI (PBE)

Data for a geometry-optimized La2YI structure.

a b c (Å): 3.8721 3.8721 11.1844
angles (deg): 80.03 80.03 60.00
Each line ends with the local moment (μB).
Fractional positions:
La  0.2543  0.2543  0.2371  0.06
La  0.0792  0.0792  0.7624  0.08
Y  0.5001  0.5001  0.4997  0.16
I  0.6664  0.6664  0.0008  0.00

Output
The crystal system is trigonal. The space group is R3m (160). As for the energy: -19.59 eV for the cell shown. The value obtained for the volume is 35.6 Å³/atom. For the energy above the lowest structure with this stoichiometry, the calculation gives 0.0 kJ/mol of atoms.


## La2YI (PBE)

Data for a geometry-optimized La2YI structure.

a b c (Å): 3.7619 3.7619 9.8744
angles (deg): 90.00 90.00 90.00
Fractional positions:
I  0.5000  0.5000  0.5000
La  0.0000  0.0000  0.7388
La  0.0000  0.0000  0.2612
Y  0.5000  0.5000  0.0000

Output
The crystal system is tetragonal. The space group is P4/mmm (123). As for the energy: -19.42 eV for the cell shown. The value obtained for the volume is 34.9 Å³/atom. For the energy above the lowest structure with this stoichiometry, the calculation gives 4.1 kJ/mol of atoms.


## LaYZnI2 (PBE)

Data for a geometry-optimized LaYZnI2 structure.

a b c (Å): 6.2136 6.5476 6.2136
angles (deg): 90.00 90.00 90.00
Fractional positions:
I  0.0000  0.0000  0.5000
I  0.5000  0.0000  0.0000
Zn  0.5000  0.5000  0.5000
Y  0.0000  0.5000  0.0000
La  0.0000  0.0000  0.0000

Output
The crystal system is tetragonal. The space group is P4/mmm (123). As for the energy: -15.49 eV for the cell shown. The value obtained for the volume is 50.6 Å³/atom.


## LaYZr2I (PBE)

Data for a geometry-optimized LaYZr2I structure.

a b c (Å): 5.2436 6.0786 5.2436
angles (deg): 90.00 90.00 90.00
Fractional positions:
Zr  0.0000  0.0000  0.5000
Zr  0.5000  0.0000  0.0000
La  0.0000  0.0000  0.0000
Y  0.5000  0.5000  0.5000
I  0.0000  0.5000  0.0000

Output
The crystal system is tetragonal. The space group is P4/mmm (123). As for the energy: -25.63 eV for the cell shown. The value obtained for the volume is 33.4 Å³/atom. For the energy above the lowest structure with this stoichiometry, the calculation gives 42.8 kJ/mol of atoms.


## LaYZr2I (PBE)

Data for a geometry-optimized LaYZr2I structure.

a b c (Å): 5.3571 5.8314 5.3571
angles (deg): 90.00 90.00 90.00
Fractional positions:
Y  0.5000  0.5000  0.5000
Zr  0.0000  0.0000  0.5000
Zr  0.5000  0.0000  0.0000
La  0.0000  0.5000  0.0000
I  0.0000  0.0000  0.0000

Output
The crystal system is tetragonal. The space group is P4/mmm (123). As for the energy: -27.85 eV for the cell shown. The value obtained for the volume is 33.5 Å³/atom. For the energy above the lowest structure with this stoichiometry, the calculation gives 0.0 kJ/mol of atoms.


## La4ZnI2 (PBE)

Data for a geometry-optimized La4ZnI2 structure.

a b c (Å): 4.0376 8.3684 15.0020
angles (deg): 90.00 90.00 103.96
Fractional positions:
La  0.0135  0.0269  0.7500
La  0.2006  0.4011  0.5987
La  0.9865  0.9731  0.2500
La  0.5000  0.0000  0.0000
La  0.7994  0.5989  0.4013
La  0.2006  0.4011  0.9013
La  0.7994  0.5989  0.0987
La  0.5000  0.0000  0.5000
I  0.8656  0.7311  0.8932
I  0.1344  0.2689  0.1068
I  0.8656  0.7311  0.6068
I  0.1344  0.2689  0.3932
Zn  0.3502  0.7004  0.2500
Zn  0.6498  0.2996  0.7500

Output
The crystal system is orthorhombic. The space group is Cmcm (63). As for the energy: -55.99 eV for the cell shown. The value obtained for the volume is 35.1 Å³/atom.


## LaZnI (PBE)

Data for a geometry-optimized LaZnI structure.

a b c (Å): 4.4347 4.4347 12.5670
angles (deg): 79.84 79.84 60.00
Fractional positions:
La  0.5547  0.5547  0.3359
La  0.4453  0.4453  0.6641
I  0.7211  0.7211  0.8367
I  0.2789  0.2789  0.1633
Zn  0.1657  0.1657  0.5030
Zn  0.8343  0.8343  0.4970

Output
The crystal system is trigonal. The space group is R-3m (166). As for the energy: -20.85 eV for the cell shown. The value obtained for the volume is 34.9 Å³/atom.


## La2ZnI (PBE)

Data for a geometry-optimized La2ZnI structure.

a b c (Å): 4.1211 4.1211 9.1093
angles (deg): 76.93 76.93 60.00
Fractional positions:
Zn  0.6669  0.6669  0.9992
La  0.2582  0.2582  0.2253
La  0.0752  0.0752  0.7743
I  0.4996  0.4996  0.5013

Output
The crystal system is trigonal. The space group is R3m (160). As for the energy: -15.11 eV for the cell shown. The value obtained for the volume is 32.3 Å³/atom. For the energy above the lowest structure with this stoichiometry, the calculation gives 0.3 kJ/mol of atoms.


## La2ZnI (PBE)

Data for a geometry-optimized La2ZnI structure.

a b c (Å): 8.4344 8.4344 6.9806
angles (deg): 52.83 52.83 90.00
Fractional positions:
La  0.3750  0.3914  0.7500
La  0.1414  0.6250  0.2500
La  0.8750  0.8586  0.7500
La  0.6086  0.1250  0.2500
Zn  0.5000  0.5000  0.0000
Zn  0.2500  0.7500  0.5000
I  0.7500  0.2500  0.5000
I  0.0000  0.0000  0.0000

Output
The crystal system is tetragonal. The space group is I-42d (122). As for the energy: -28.27 eV for the cell shown. The value obtained for the volume is 32.3 Å³/atom. For the energy above the lowest structure with this stoichiometry, the calculation gives 23.8 kJ/mol of atoms.


The records above yield uncorrected formation energy values of -0.35 -0.21 -0.09 -0.43 -0.39 0.05 0.88 0.44 -0.56 -0.89 -0.61 -0.36 eV per atom, respectively.
The records above yield magnetic moment values of 0.00 0.00 0.00 0.74 0.00 0.00 0.00 0.00 0.00 0.00 0.00 0.00 μB per formula unit, respectively.